w) {
  "formula": "RbZnHIrO",
  "functional": "PBE-GGA",
  "state": "relaxed",
  "dos_at_fermi_per_ev_atom": 0.5045,
  "m_tot_mub_per_cell": 0.91,
  "spacegroup": "P1 (1)",
  "lattice": [[-0.674, 2.009, 2.364], [0.046, -2.950, 2.525], [6.755, 1.433, 1.765]],
  "species": ["H", "Rb", "Zn", "O", "Ir"],
  "frac_coords": [[0.388, 0.548, 0.620], [0.729, 0.030, 0.293], [0.855, 0.047, 0.781], [0.271, 0.536, 0.127], [0.335, 0.544, 0.858]]
}

***

x) {
  "formula": "RbZnHIrO",
  "functional": "PBE-GGA",
  "state": "relaxed",
  "dos_at_fermi_per_ev_atom": 0.2421,
  "m_tot_mub_per_cell": 0.00,
  "spacegroup": "P1 (1)",
  "lattice": [[2.954, -0.001, 0.000], [0.004, 4.642, 0.005], [1.264, 1.567, 6.627]],
  "species": ["H", "Ir", "Rb", "Zn", "O"],
  "frac_coords": [[0.349, 0.692, 0.486], [0.267, 0.419, 0.678], [0.470, 0.262, 0.203], [0.730, 0.834, 0.767], [0.824, 0.215, 0.544]]
}

***

In terms of stability, w) leads; the second structure lies 18.8 kJ/mol of atoms higher.

***

w) {
  "formula": "RbZnHIrO",
  "functional": "PBE-GGA",
  "state": "relaxed",
  "dos_at_fermi_per_ev_atom": 0.4793,
  "m_tot_mub_per_cell": 0.91,
  "spacegroup": "Pm (6)",
  "lattice": [[3.928, 0.000, -0.001], [0.000, 3.149, 0.000], [-1.899, 0.000, 7.104]],
  "species": ["H", "Ir", "Zn", "O", "Rb"],
  "frac_coords": [[0.672, 0.500, 0.377], [0.560, 0.500, 0.141], [0.099, 0.000, 0.220], [0.433, 0.500, 0.873], [0.854, 0.000, 0.711]]
}

***

x) {
  "formula": "RbZnHIrO",
  "functional": "PBE-GGA",
  "state": "relaxed",
  "dos_at_fermi_per_ev_atom": 0.3795,
  "m_tot_mub_per_cell": 0.26,
  "spacegroup": "Pm (6)",
  "lattice": [[-1.239, -0.346, -2.635], [-0.693, -4.076, 0.861], [-5.809, 1.575, 2.785]],
  "species": ["O", "Ir", "Zn", "H", "Rb"],
  "frac_coords": [[0.771, 0.500, 0.901], [0.289, 0.500, 0.136], [0.792, 0.000, 0.197], [0.313, 0.500, 0.379], [0.256, 0.000, 0.709]]
}

***

In terms of stability, w) leads; the second structure lies 5.0 kJ/mol of atoms higher.

***

w) {
  "formula": "H3IrOs",
  "functional": "PBE-GGA",
  "state": "relaxed",
  "dos_at_fermi_per_ev_atom": 0.3849,
  "m_tot_mub_per_cell": 0.00,
  "spacegroup": "Pm-3m (221)",
  "lattice": [[3.426, 0.000, 0.000], [0.000, 3.426, 0.000], [0.000, 0.000, 3.426]],
  "species": ["H", "H", "H", "Ir", "Os"],
  "frac_coords": [[0.500, 0.000, 0.000], [0.000, 0.500, 0.000], [0.000, 0.000, 0.500], [0.500, 0.500, 0.500], [0.000, 0.000, 0.000]]
}

***

x) {
  "formula": "H3IrOs",
  "functional": "PBE-GGA",
  "state": "relaxed",
  "dos_at_fermi_per_ev_atom": 0.4499,
  "m_tot_mub_per_cell": 0.87,
  "spacegroup": "Pm-3m (221)",
  "lattice": [[-0.611, 3.262, 0.867], [-3.320, -0.740, 0.442], [0.607, -0.760, 3.289]],
  "species": ["Os", "H", "H", "H", "Ir"],
  "frac_coords": [[0.500, 0.500, 0.500], [0.500, 0.000, 0.000], [0.000, 0.500, 0.000], [0.000, 0.000, 0.500], [0.000, 0.000, 0.000]]
}

***

In terms of stability, w) leads; the second structure lies 2.6 kJ/mol of atoms higher.

***

w) {
  "formula": "HIr3Os",
  "functional": "PBE-GGA",
  "state": "relaxed",
  "dos_at_fermi_per_ev_atom": 1.0157,
  "m_tot_mub_per_cell": 0.96,
  "spacegroup": "Pm-3m (221)",
  "lattice": [[4.748, 0.000, 0.000], [0.000, 4.748, 0.000], [0.000, 0.000, 4.748]],
  "species": ["Ir", "Ir", "Ir", "H", "Os"],
  "frac_coords": [[0.000, 0.000, 0.500], [0.000, 0.500, 0.000], [0.500, 0.000, 0.000], [0.500, 0.500, 0.500], [0.000, 0.000, 0.000]]
}

***

x) {
  "formula": "HIr3Os",
  "functional": "PBE-GGA",
  "state": "relaxed",
  "dos_at_fermi_per_ev_atom": 0.8671,
  "m_tot_mub_per_cell": 0.00,
  "spacegroup": "Pm-3m (221)",
  "lattice": [[3.926, 0.000, 0.000], [0.000, 3.926, 0.000], [0.000, 0.000, 3.926]],
  "species": ["H", "Ir", "Ir", "Ir", "Os"],
  "frac_coords": [[0.000, 0.000, 0.000], [0.000, 0.500, 0.000], [0.000, 0.000, 0.500], [0.500, 0.000, 0.000], [0.500, 0.500, 0.500]]
}

***

In terms of stability, x) leads; the second structure lies 202.6 kJ/mol of atoms higher.

***

w) {
  "formula": "HIrOsRu2",
  "functional": "PBE-GGA",
  "state": "relaxed",
  "dos_at_fermi_per_ev_atom": 1.2194,
  "m_tot_mub_per_cell": 0.00,
  "spacegroup": "P4/mmm (123)",
  "lattice": [[-3.777, 0.742, 0.600], [0.487, -0.611, 3.817], [0.818, 3.761, 0.498]],
  "species": ["H", "Os", "Ru", "Ru", "Ir"],
  "frac_coords": [[0.000, 0.000, 0.000], [0.500, 0.500, 0.500], [0.000, 0.500, 0.000], [0.500, 0.000, 0.000], [0.000, 0.000, 0.500]]
}

***

x) {
  "formula": "HIrOsRu2",
  "functional": "PBE-GGA",
  "state": "relaxed",
  "dos_at_fermi_per_ev_atom": 1.2498,
  "m_tot_mub_per_cell": 0.00,
  "spacegroup": "P4/mmm (123)",
  "lattice": [[-3.296, -1.990, 0.534], [0.060, -1.100, -3.728], [2.064, -3.160, 0.966]],
  "species": ["H", "Ru", "Ru", "Os", "Ir"],
  "frac_coords": [[0.000, 0.000, 0.000], [0.500, 0.000, 0.000], [0.000, 0.500, 0.000], [0.000, 0.000, 0.500], [0.500, 0.500, 0.500]]
}

***

In terms of stability, x) leads; the second structure lies 1.3 kJ/mol of atoms higher.

***

w) {
  "formula": "Tc2HIrOs",
  "functional": "PBE-GGA",
  "state": "relaxed",
  "dos_at_fermi_per_ev_atom": 0.9024,
  "m_tot_mub_per_cell": 0.00,
  "spacegroup": "P4/mmm (123)",
  "lattice": [[3.915, 0.000, 0.000], [0.000, 3.915, 0.000], [0.000, 0.000, 3.903]],
  "species": ["Tc", "Tc", "Ir", "H", "Os"],
  "frac_coords": [[0.000, 0.500, 0.000], [0.500, 0.000, 0.000], [0.000, 0.000, 0.500], [0.000, 0.000, 0.000], [0.500, 0.500, 0.500]]
}

***

x) {
  "formula": "Tc2HIrOs",
  "functional": "PBE-GGA",
  "state": "relaxed",
  "dos_at_fermi_per_ev_atom": 0.4966,
  "m_tot_mub_per_cell": 0.00,
  "spacegroup": "P4/mmm (123)",
  "lattice": [[-0.184, 3.896, 0.299], [-2.925, 0.061, -2.596], [-2.586, -0.345, 2.905]],
  "species": ["Tc", "Tc", "H", "Os", "Ir"],
  "frac_coords": [[0.000, 0.500, 0.000], [0.500, 0.000, 0.000], [0.000, 0.000, 0.000], [0.000, 0.000, 0.500], [0.500, 0.500, 0.500]]
}

***

In terms of stability, x) leads; the second structure lies 1.9 kJ/mol of atoms higher.

***

w) {
  "formula": "HIrOsW2",
  "functional": "PBE-GGA",
  "state": "relaxed",
  "dos_at_fermi_per_ev_atom": 0.4770,
  "m_tot_mub_per_cell": 0.00,
  "spacegroup": "P4/mmm (123)",
  "lattice": [[-1.672, -2.870, -2.243], [0.220, -2.543, 3.090], [-3.550, 1.138, 1.190]],
  "species": ["Os", "W", "W", "Ir", "H"],
  "frac_coords": [[0.500, 0.500, 0.500], [0.500, 0.000, 0.000], [0.000, 0.500, 0.000], [0.000, 0.000, 0.500], [0.000, 0.000, 0.000]]
}

***

x) {
  "formula": "HIrOsW2",
  "functional": "PBE-GGA",
  "state": "relaxed",
  "dos_at_fermi_per_ev_atom": 0.4195,
  "m_tot_mub_per_cell": 0.00,
  "spacegroup": "P4/mmm (123)",
  "lattice": [[4.004, 0.000, 0.000], [0.000, 4.004, 0.000], [0.000, 0.000, 3.916]],
  "species": ["W", "W", "H", "Os", "Ir"],
  "frac_coords": [[0.000, 0.500, 0.000], [0.500, 0.000, 0.000], [0.000, 0.000, 0.000], [0.000, 0.000, 0.500], [0.500, 0.500, 0.500]]
}

***

In terms of stability, x) leads; the second structure lies 2.3 kJ/mol of atoms higher.

***

w) {
  "formula": "P2HIr",
  "functional": "PBE-GGA",
  "state": "relaxed",
  "dos_at_fermi_per_ev_atom": 0.5817,
  "m_tot_mub_per_cell": 0.21,
  "spacegroup": "Fm-3m (225)",
  "lattice": [[-3.974, -0.767, 0.128], [-2.632, 3.034, 0.520], [-2.386, 1.158, -3.061]],
  "species": ["P", "P", "H", "Ir"],
  "frac_coords": [[0.250, 0.250, 0.250], [0.750, 0.750, 0.750], [0.000, 0.000, 0.000], [0.500, 0.500, 0.500]]
}

***

x) {
  "formula": "P2HIr",
  "functional": "PBE-GGA",
  "state": "relaxed",
  "dos_at_fermi_per_ev_atom": 0.3058,
  "m_tot_mub_per_cell": 0.00,
  "spacegroup": "I-42d (122)",
  "lattice": [[4.860, 0.000, 0.000], [0.000, 4.860, 0.000], [2.430, 2.430, 4.897]],
  "species": ["P", "P", "P", "P", "Ir", "Ir", "H", "H"],
  "frac_coords": [[0.174, 0.625, 0.250], [0.576, 0.125, 0.250], [0.375, 0.424, 0.750], [0.875, 0.826, 0.750], [0.750, 0.250, 0.500], [0.000, 0.000, 0.000], [0.250, 0.750, 0.500], [0.500, 0.500, 0.000]]
}

***

In terms of stability, x) leads; the second structure lies 1.8 kJ/mol of atoms higher.

***

w) {
  "formula": "TcPHIr",
  "functional": "PBE-GGA",
  "state": "relaxed",
  "dos_at_fermi_per_ev_atom": 0.7893,
  "m_tot_mub_per_cell": 0.00,
  "spacegroup": "Cm (8)",
  "lattice": [[4.574, 0.000, -0.017], [0.000, 2.895, 0.000], [-4.304, 0.000, 7.326]],
  "species": ["P", "P", "Tc", "Tc", "Ir", "Ir", "H", "H"],
  "frac_coords": [[0.635, 0.000, 0.572], [0.635, 0.500, 0.072], [0.555, 0.000, 0.271], [0.555, 0.500, 0.771], [0.139, 0.500, 0.360], [0.139, 0.000, 0.860], [0.137, 0.500, 0.566], [0.137, 0.000, 0.066]]
}

***

x) {
  "formula": "TcPHIr",
  "functional": "PBE-GGA",
  "state": "relaxed",
  "dos_at_fermi_per_ev_atom": 0.5126,
  "m_tot_mub_per_cell": 0.00,
  "spacegroup": "Cm (8)",
  "lattice": [[-2.279, -4.288, 0.913], [2.332, -1.423, -0.863], [2.926, 0.940, 6.361]],
  "species": ["P", "P", "Tc", "Tc", "H", "H", "Ir", "Ir"],
  "frac_coords": [[0.725, 0.000, 0.393], [0.725, 0.500, 0.893], [0.486, 0.000, 0.654], [0.486, 0.500, 0.154], [0.280, 0.500, 0.523], [0.280, 0.000, 0.023], [0.975, 0.500, 0.628], [0.975, 0.000, 0.128]]
}

***

In terms of stability, w) leads; the second structure lies 1.2 kJ/mol of atoms higher.

***

w) {
  "formula": "TcPHIr",
  "functional": "PBE-GGA",
  "state": "relaxed",
  "dos_at_fermi_per_ev_atom": 0.3545,
  "m_tot_mub_per_cell": 0.00,
  "spacegroup": "Amm2 (38)",
  "lattice": [[-3.058, -1.096, -0.659], [0.382, -2.205, 1.896], [-3.763, 5.910, 7.634]],
  "species": ["P", "P", "Tc", "Tc", "H", "H", "Ir", "Ir"],
  "frac_coords": [[0.000, 0.500, 0.057], [0.000, 0.000, 0.557], [0.500, 0.500, 0.468], [0.500, 0.000, 0.968], [0.500, 0.500, 0.819], [0.500, 0.000, 0.319], [0.500, 0.500, 0.207], [0.500, 0.000, 0.707]]
}

***

x) {
  "formula": "TcPHIr",
  "functional": "PBE-GGA",
  "state": "relaxed",
  "dos_at_fermi_per_ev_atom": 0.5112,
  "m_tot_mub_per_cell": 0.00,
  "spacegroup": "Cm (8)",
  "lattice": [[4.318, 0.000, -0.005], [0.000, 2.852, 0.000], [-2.149, 0.000, 7.899]],
  "species": ["H", "H", "P", "P", "Ir", "Ir", "Tc", "Tc"],
  "frac_coords": [[0.240, 0.000, 0.967], [0.240, 0.500, 0.467], [0.501, 0.500, 0.749], [0.501, 0.000, 0.249], [0.056, 0.500, 0.248], [0.056, 0.000, 0.748], [0.669, 0.500, 0.500], [0.669, 0.000, 0.000]]
}

***

In terms of stability, w) leads; the second structure lies 9.0 kJ/mol of atoms higher.

***

w) {
  "formula": "TcPHIr",
  "functional": "PBE-GGA",
  "state": "relaxed",
  "dos_at_fermi_per_ev_atom": 0.7882,
  "m_tot_mub_per_cell": 0.00,
  "spacegroup": "Cm (8)",
  "lattice": [[-4.100, 4.272, -0.796], [-2.112, -1.998, 0.160], [-0.177, 0.633, 5.570]],
  "species": ["Ir", "Ir", "P", "P", "H", "H", "Tc", "Tc"],
  "frac_coords": [[0.550, 0.500, 0.555], [0.550, 0.000, 0.055], [0.793, 0.000, 0.380], [0.793, 0.500, 0.880], [0.090, 0.500, 0.195], [0.090, 0.000, 0.695], [0.185, 0.000, 0.384], [0.185, 0.500, 0.884]]
}

***

x) {
  "formula": "TcPHIr",
  "functional": "PBE-GGA",
  "state": "relaxed",
  "dos_at_fermi_per_ev_atom": 0.5675,
  "m_tot_mub_per_cell": 0.00,
  "spacegroup": "Cm (8)",
  "lattice": [[5.121, 0.000, 0.003], [0.000, 3.045, 0.000], [-4.937, 0.000, 6.130]],
  "species": ["H", "H", "Tc", "Tc", "Ir", "Ir", "P", "P"],
  "frac_coords": [[0.039, 0.000, 0.882], [0.039, 0.500, 0.382], [0.943, 0.500, 0.711], [0.943, 0.000, 0.211], [0.411, 0.000, 0.690], [0.411, 0.500, 0.190], [0.535, 0.500, 0.948], [0.535, 0.000, 0.448]]
}

***

In terms of stability, x) leads; the second structure lies 6.3 kJ/mol of atoms higher.

***

w) {
  "formula": "TcPHIr",
  "functional": "PBE-GGA",
  "state": "relaxed",
  "dos_at_fermi_per_ev_atom": 0.4501,
  "m_tot_mub_per_cell": 0.00,
  "spacegroup": "Pm (6)",
  "lattice": [[-1.222, -2.268, 1.240], [-0.838, -0.954, -2.570], [4.882, -2.859, -0.531]],
  "species": ["H", "P", "Ir", "Tc"],
  "frac_coords": [[0.521, 0.000, 0.008], [0.141, 0.500, 0.362], [0.158, 0.500, 0.945], [0.645, 0.000, 0.601]]
}

***

x) {
  "formula": "TcPHIr",
  "functional": "PBE-GGA",
  "state": "relaxed",
  "dos_at_fermi_per_ev_atom": 0.3647,
  "m_tot_mub_per_cell": 0.00,
  "spacegroup": "Cm (8)",
  "lattice": [[5.844, 0.000, -0.012], [0.000, 3.106, 0.000], [-0.737, 0.000, 5.202]],
  "species": ["Tc", "Tc", "P", "P", "H", "H", "Ir", "Ir"],
  "frac_coords": [[0.122, 0.500, 0.415], [0.122, 0.000, 0.915], [0.388, 0.500, 0.787], [0.388, 0.000, 0.287], [0.936, 0.000, 0.182], [0.936, 0.500, 0.682], [0.652, 0.500, 0.483], [0.652, 0.000, 0.983]]
}

***

In terms of stability, w) leads; the second structure lies 3.8 kJ/mol of atoms higher.

***

w) {
  "formula": "PaH4Ir",
  "functional": "PBE-GGA",
  "state": "relaxed",
  "dos_at_fermi_per_ev_atom": 0.5955,
  "m_tot_mub_per_cell": 0.00,
  "spacegroup": "C2/c (15)",
  "lattice": [[4.357, 0.000, 0.000], [-2.178, 3.757, -0.277], [0.000, -1.787, 7.087]],
  "species": ["H", "H", "H", "H", "H", "H", "H", "H", "Ir", "Ir", "Pa", "Pa"],
  "frac_coords": [[0.879, 0.608, 0.899], [0.275, 0.972, 0.592], [0.121, 0.392, 0.101], [0.729, 0.608, 0.399], [0.302, 0.028, 0.908], [0.271, 0.392, 0.601], [0.698, 0.972, 0.092], [0.725, 0.028, 0.408], [0.000, 0.500, 0.500], [0.500, 0.500, 0.000], [0.769, 0.000, 0.750], [0.231, 0.000, 0.250]]
}

***

x) {
  "formula": "PaH4Ir",
  "functional": "PBE-GGA",
  "state": "relaxed",
  "m_tot_mub_per_cell": 0.00,
  "spacegroup": "Pmn2_1 (31)",
  "lattice": [[4.361, 0.000, 0.000], [0.000, 4.602, 0.000], [0.000, 0.000, 6.055]],
  "species": ["H", "H", "H", "H", "H", "H", "H", "H", "Ir", "Ir", "Pa", "Pa"],
  "frac_coords": [[0.662, 0.993, 0.500], [0.972, 0.696, 0.811], [0.208, 0.679, 0.500], [0.028, 0.196, 0.689], [0.028, 0.196, 0.311], [0.338, 0.493, 0.000], [0.792, 0.179, 0.000], [0.972, 0.696, 0.189], [0.718, 0.561, 0.000], [0.282, 0.061, 0.500], [0.702, 0.503, 0.500], [0.298, 0.003, 0.000]]
}

***

In terms of stability, w) leads; the second structure lies 8.1 kJ/mol of atoms higher.